[1]
Material: PrMnIn4O8
Method: DFT, GGA+U
State: relaxed

Summary:
Crystal system: trigonal
SG: R3m
Volume, A^3/atom: 14.9

Lattice parameters (Å, degrees): 6.6518 6.6518 6.6518 60.17 60.17 60.17
Last column: nearest neighbours and their distance in Å.
Sites, in units of the cell vectors:
Pr 0.0000 0.0000 0.0000  4 O 2.27-2.30
Mn 0.3773 0.3773 0.3773  6 O 2.24-2.29
In 0.3780 0.3780 0.8765  6 O 2.22-2.27
In 0.3780 0.8765 0.3780  6 O 2.22-2.27
In 0.7552 0.7552 0.7552  4 O 2.20-2.23
In 0.8765 0.3780 0.3780  6 O 2.22-2.27
O 0.1412 0.1412 0.1412  3 In 2.24, 1 Pr 2.30
O 0.1409 0.1409 0.5825  2 In 2.22, 1 Mn 2.24, 1 Pr 2.27
O 0.1409 0.5825 0.1409  2 In 2.22, 1 Mn 2.24, 1 Pr 2.27
O 0.1598 0.6195 0.6195  3 In 2.20-2.24, 1 Mn 2.29
O 0.5825 0.1409 0.1409  2 In 2.22, 1 Mn 2.24, 1 Pr 2.27
O 0.6183 0.6183 0.6183  4 In 2.23-2.27
O 0.6195 0.1598 0.6195  3 In 2.20-2.24, 1 Mn 2.29
O 0.6195 0.6195 0.1598  3 In 2.20-2.24, 1 Mn 2.29



[2]
Material: PrMn3In4O12
Method: DFT, GGA+U
State: relaxed

Summary:
Crystal system: cubic
SG: Im-3
Volume, A^3/atom: 12.5

Lattice parameters (Å, degrees): 6.8807 6.8807 6.8807 109.47 109.47 109.47
Last column: nearest neighbours and their distance in Å.
Sites, in units of the cell vectors:
Pr 0.0000 0.0000 0.0000  12 O 2.81
Mn 0.0000 0.5000 0.5000  4 O 1.96
Mn 0.5000 0.0000 0.5000  4 O 1.96
Mn 0.5000 0.5000 0.0000  4 O 1.96
In 0.0000 0.0000 0.5000  6 O 2.17
In 0.0000 0.5000 0.0000  6 O 2.17
In 0.5000 0.0000 0.0000  6 O 2.17
In 0.5000 0.5000 0.5000  6 O 2.17
O 0.1524 0.3140 0.8383  1 Mn 1.96, 2 In 2.17
O 0.1617 0.4757 0.3140  1 Mn 1.96, 2 In 2.17
O 0.1617 0.8476 0.6860  1 Mn 1.96, 2 In 2.17
O 0.3140 0.1617 0.4757  1 Mn 1.96, 2 In 2.17
O 0.3140 0.8383 0.1524  1 Mn 1.96, 2 In 2.17
O 0.4757 0.3140 0.1617  1 Mn 1.96, 2 In 2.17
O 0.5243 0.6860 0.8383  1 Mn 1.96, 2 In 2.17
O 0.6860 0.1617 0.8476  1 Mn 1.96, 2 In 2.17
O 0.6860 0.8383 0.5243  1 Mn 1.96, 2 In 2.17
O 0.8383 0.1524 0.3140  1 Mn 1.96, 2 In 2.17
O 0.8383 0.5243 0.6860  1 Mn 1.96, 2 In 2.17
O 0.8476 0.6860 0.1617  1 Mn 1.96, 2 In 2.17



[3]
Material: MnInPt2O
Method: DFT, GGA+U
State: relaxed

Summary:
Crystal system: tetragonal
SG: P4/mmm
Volume, A^3/atom: 21.5

Lattice parameters (Å, degrees): 5.1610 5.1610 4.0446 90.00 90.00 90.00
Last column: nearest neighbours and their distance in Å.
Sites, in units of the cell vectors:
Mn 0.0000 0.0000 0.0000  8 Pt 3.28, 4 O 3.65
In 0.5000 0.5000 0.5000  2 O 2.02
Pt 0.0000 0.5000 0.5000  2 In 2.58
Pt 0.5000 0.0000 0.5000  2 In 2.58
O 0.5000 0.5000 0.0000  2 In 2.02



[4]
Material: PuMnIn2O8
Method: DFT, GGA+U
State: relaxed

Summary:
Crystal system: orthorhombic
SG: Cmmm
Volume, A^3/atom: 13.0

Lattice parameters (Å, degrees): 4.9202 4.9202 6.4292 90.00 90.00 92.33
Last column: nearest neighbours and their distance in Å.
Sites, in units of the cell vectors:
Pu 0.0000 0.0000 0.0000  6 O 2.06-2.07
Mn 0.0000 0.0000 0.5000  6 O 1.95-2.02
In 0.5000 0.5000 0.2624  6 O 2.11-2.29
In 0.5000 0.5000 0.7376  6 O 2.11-2.29
O 0.1781 0.8219 0.2546  1 Mn 2.02, 1 Pu 2.07
O 0.1781 0.8219 0.7454  1 Mn 2.02, 1 Pu 2.07
O 0.2857 0.2857 0.5000  1 Mn 1.95, 2 In 2.11
O 0.3020 0.3020 0.0000  1 Pu 2.06, 2 In 2.16
O 0.6980 0.6980 0.0000  1 Pu 2.06, 2 In 2.16
O 0.7143 0.7143 0.5000  1 Mn 1.95, 2 In 2.11
O 0.8219 0.1781 0.2546  1 Mn 2.02, 1 Pu 2.07
O 0.8219 0.1781 0.7454  1 Mn 2.02, 1 Pu 2.07



[5]
Material: Rb2MnInO4
Method: DFT, GGA+U
State: relaxed

Summary:
Crystal system: orthorhombic
SG: Fddd
Volume, A^3/atom: 25.0

Lattice parameters (Å, degrees): 12.4053 10.8917 7.2029 83.92 60.81 35.27
Last column: nearest neighbours and their distance in Å.
Sites, in units of the cell vectors:
Rb 0.0623 0.0623 0.6877  2 O 2.80
Rb 0.3123 0.3123 0.9377  2 O 2.80
Rb 0.6877 0.6877 0.0623  2 O 2.80
Rb 0.9377 0.9377 0.3123  2 O 2.80
Mn 0.3750 0.3750 0.3750  4 O 1.93
Mn 0.6250 0.6250 0.6250  4 O 1.93
In 0.1250 0.1250 0.1250  4 O 2.09
In 0.8750 0.8750 0.8750  4 O 2.09
O 0.0193 0.6735 0.5387  1 Mn 1.93, 1 In 2.09
O 0.2685 0.5387 0.6735  1 Mn 1.93, 1 In 2.09
O 0.3265 0.9807 0.7315  1 Mn 1.93, 1 In 2.09
O 0.4613 0.7315 0.9807  1 Mn 1.93, 1 In 2.09
O 0.5387 0.2685 0.0193  1 Mn 1.93, 1 In 2.09
O 0.6735 0.0193 0.2685  1 Mn 1.93, 1 In 2.09
O 0.7315 0.4613 0.3265  1 Mn 1.93, 1 In 2.09
O 0.9807 0.3265 0.4613  1 Mn 1.93, 1 In 2.09



[6]
Material: MnIn2SbO6
Method: DFT, GGA+U
State: relaxed

Summary:
Crystal system: trigonal
SG: R3
Volume, A^3/atom: 13.2

Lattice parameters (Å, degrees): 5.8733 5.8733 5.8733 56.69 56.69 56.69
Last column: nearest neighbours and their distance in Å.
Sites, in units of the cell vectors:
Mn 0.0000 0.0000 0.0000  6 O 2.18-2.33
In 0.2810 0.2810 0.2810  6 O 2.17-2.32
In 0.7844 0.7844 0.7844  6 O 2.17-2.29
Sb 0.4929 0.4929 0.4929  6 O 2.14-2.16
O 0.1073 0.6840 0.3925  1 Sb 2.16, 2 In 2.17-2.32, 1 Mn 2.18
O 0.1964 0.5951 0.8802  1 Sb 2.14, 2 In 2.17-2.29, 1 Mn 2.33
O 0.3925 0.1073 0.6840  1 Sb 2.16, 2 In 2.17-2.32, 1 Mn 2.18
O 0.5951 0.8802 0.1964  1 Sb 2.14, 2 In 2.17-2.29, 1 Mn 2.33
O 0.6840 0.3925 0.1073  1 Sb 2.16, 2 In 2.17-2.32, 1 Mn 2.18
O 0.8802 0.1964 0.5951  1 Sb 2.14, 2 In 2.17-2.29, 1 Mn 2.33



[7]
Material: Mn2InSbO6
Method: DFT, GGA+U
State: relaxed

Summary:
Crystal system: triclinic
SG: P1
Volume, A^3/atom: 13.0

Lattice parameters (Å, degrees): 6.3471 6.3919 6.3922 90.74 90.63 90.56
Last column: nearest neighbours and their distance in Å.
Sites, in units of the cell vectors:
Mn 0.0000 0.0000 0.0000  5 O 2.15-2.30
Mn 0.1209 0.4948 0.0922  5 O 2.13-2.27
Mn 0.3067 0.7982 0.6214  5 O 2.14-2.27
Mn 0.6171 0.3078 0.8037  6 O 2.16-2.32
In 0.5000 0.1829 0.3016  6 O 2.17-2.29
In 0.8129 0.6916 0.4864  6 O 2.14-2.35
Sb 0.0613 0.2468 0.5522  6 O 2.00-2.05
Sb 0.5589 0.7457 0.0495  6 O 1.99-2.05
O 0.1250 0.5474 0.4838  1 Sb 2.01, 1 Mn 2.14, 1 In 2.19
O 0.1428 0.1814 0.2522  1 Sb 2.03, 2 Mn 2.16-2.27
O 0.2604 0.7900 0.9628  1 Sb 1.99, 2 Mn 2.15-2.21
O 0.3635 0.1732 0.6180  1 Sb 2.02, 1 Mn 2.16, 1 In 2.21
O 0.4695 0.4465 0.0930  1 Sb 2.01, 1 In 2.17, 1 Mn 2.24
O 0.5173 0.8337 0.3556  1 Sb 2.05, 1 Mn 2.19, 2 In 2.25-2.27
O 0.6071 0.6554 0.7511  1 Sb 2.01, 1 In 2.16, 1 Mn 2.25
O 0.6459 0.0480 0.0168  1 Sb 2.02, 1 Mn 2.17, 1 In 2.22
O 0.7585 0.3280 0.4757  1 Sb 2.05, 1 In 2.17, 1 Mn 2.29
O 0.8595 0.7021 0.1433  1 Sb 2.02, 1 Mn 2.16, 1 In 2.22
O 0.9807 0.3092 0.8477  1 Sb 2.00, 2 Mn 2.13-2.22
O 0.9891 0.9480 0.6223  1 Sb 2.02, 1 In 2.14, 1 Mn 2.24



[8]
Material: Mn2InSbO6
Method: DFT, GGA+U
State: relaxed

Summary:
Crystal system: trigonal
SG: R3
Volume, A^3/atom: 12.4

Lattice parameters (Å, degrees): 5.7335 5.7335 5.7335 56.99 56.99 56.99
Last column: nearest neighbours and their distance in Å.
Sites, in units of the cell vectors:
Mn 0.0000 0.0000 0.0000  6 O 2.13-2.34
Mn 0.4949 0.4949 0.4949  6 O 2.15-2.35
In 0.2168 0.2168 0.2168  6 O 2.15-2.29
Sb 0.7090 0.7090 0.7090  6 O 2.01-2.05
O 0.0760 0.4396 0.8177  1 Sb 2.01, 1 Mn 2.15
O 0.3361 0.9090 0.6054  1 Sb 2.05, 1 Mn 2.13, 1 In 2.15
O 0.4396 0.8177 0.0760  1 Sb 2.01, 1 Mn 2.15
O 0.6054 0.3361 0.9090  1 Sb 2.05, 1 Mn 2.13, 1 In 2.15
O 0.8177 0.0760 0.4396  1 Sb 2.01, 1 Mn 2.15
O 0.9090 0.6054 0.3361  1 Sb 2.05, 1 Mn 2.13, 1 In 2.15



[9]
Material: Mn3In2Sb3O14
Method: DFT, GGA+U
State: relaxed

Summary:
Crystal system: monoclinic
SG: C2/m
Volume, A^3/atom: 12.2

Lattice parameters (Å, degrees): 7.1370 7.1370 7.3535 119.09 119.09 60.43
Last column: nearest neighbours and their distance in Å.
Sites, in units of the cell vectors:
Mn 0.0000 0.0000 0.0000  8 O 2.32-2.52
Mn 0.0000 0.0000 0.5000  6 O 2.18-2.45
Mn 0.5000 0.5000 0.0000  4 O 1.96
In 0.0000 0.5000 0.5000  4 O 2.19-2.39
In 0.5000 0.0000 0.5000  4 O 2.19-2.39
Sb 0.0000 0.5000 0.0000  6 O 1.98-2.00
Sb 0.5000 0.0000 0.0000  6 O 1.98-2.00
Sb 0.5000 0.5000 0.5000  6 O 1.96-2.01
O 0.1273 0.1273 0.3811  2 Mn 2.18-2.32, 2 In 2.19
O 0.1688 0.1688 0.9341  2 Sb 1.98
O 0.1686 0.5928 0.3232  2 Sb 2.00-2.01
O 0.1711 0.5733 0.9112  1 Mn 1.96, 1 Sb 1.98
O 0.4047 0.4047 0.6417  1 Sb 1.96
O 0.4072 0.8314 0.6768  2 Sb 2.00-2.01
O 0.4267 0.8289 0.0888  1 Mn 1.96, 1 Sb 1.98
O 0.5733 0.1711 0.9112  1 Mn 1.96, 1 Sb 1.98
O 0.5928 0.1686 0.3232  2 Sb 2.00-2.01
O 0.5953 0.5953 0.3583  1 Sb 1.96
O 0.8289 0.4267 0.0888  1 Mn 1.96, 1 Sb 1.98
O 0.8314 0.4072 0.6768  2 Sb 2.00-2.01
O 0.8312 0.8312 0.0659  2 Sb 1.98
O 0.8727 0.8727 0.6189  2 Mn 2.18-2.32, 2 In 2.19



Number 1: DFT total energy -6.295 eV per atom. Number 2: DFT total energy -6.604 eV per atom. Number 3: DFT total energy -4.978 eV per atom. Number 4: DFT total energy -7.336 eV per atom. Number 5: DFT total energy -5.326 eV per atom. Number 6: DFT total energy -6.152 eV per atom. Number 7: DFT total energy -6.767 eV per atom. Number 8: DFT total energy -6.739 eV per atom. Number 9: DFT total energy -6.504 eV per atom.